Version 1
A plane-wave DFT calculation with PBE-GGA was carried out for crystalline NaNi2Br at its relaxed geometry.

Output
As for the space-group type: Fm-3m.

Cell and atoms, written as POSCAR:
```
NaNi2Br
1.0
0.755 -3.183 -3.066
-1.809 -4.071 0.503
-3.313 -1.332 -2.712
Ni Br Na
2 1 1
direct
0.250 0.250 0.250
0.750 0.750 0.750
0.500 0.500 0.500
0.000 0.000 0.000
```

***

Version 2
A plane-wave DFT calculation with PBE-GGA was carried out for crystalline NaNi2Br at its relaxed geometry.

Output
As for the space-group type: I4_1/amd.

Cell and atoms, written as POSCAR:
```
NaNi2Br
1.0
4.843 0.000 0.000
0.000 4.843 0.000
2.422 2.422 7.652
Ni Br Na
4 2 2
direct
0.874 0.125 0.250
0.876 0.625 0.250
0.375 0.126 0.750
0.875 0.124 0.750
0.000 0.000 0.000
0.750 0.250 0.500
0.500 0.500 0.000
0.250 0.750 0.500
```

***

Of them, the most stable is version 2 and the least stable is version 1.

***

Version 1
A plane-wave DFT calculation with PBE-GGA was carried out for crystalline Na2NiBr4 at its relaxed geometry.

Output
As for the space-group type: I-42m.

Cell and atoms, written as POSCAR:
```
Na2NiBr4
1.0
-4.113 5.391 -2.151
-5.051 -4.623 -1.927
2.985 -0.153 5.671
Na Ni Br
2 1 4
direct
0.750 0.250 0.500
0.250 0.750 0.500
0.500 0.500 0.000
0.735 0.270 0.004
0.270 0.735 0.004
0.730 0.730 0.996
0.265 0.265 0.996
```

***

Version 2
A plane-wave DFT calculation with PBE-GGA was carried out for crystalline Na2NiBr4 at its relaxed geometry.

Output
As for the space-group type: I4/mmm.

Cell and atoms, written as POSCAR:
```
Na2NiBr4
1.0
5.073 0.000 0.000
0.000 5.073 0.000
2.537 2.537 7.324
Ni Br Na
1 4 2
direct
0.000 0.000 0.000
0.833 0.833 0.334
0.167 0.167 0.666
0.000 0.500 0.000
0.500 0.000 0.000
0.632 0.632 0.735
0.368 0.368 0.265
```

***

Of them, the most stable is version 1 and the least stable is version 2.

***

Version 1
A plane-wave DFT calculation with PBE-GGA was carried out for crystalline NaNiSeBr2 at its relaxed geometry.

Output
As for the space-group type: P4/mmm.

Cell and atoms, written as POSCAR:
```
NaNiSeBr2
1.0
-2.343 -3.108 -3.628
4.591 -2.580 -0.755
-1.333 -3.501 3.860
Ni Se Br Na
1 1 2 1
direct
0.500 0.500 0.500
0.000 0.000 0.500
0.000 0.500 0.000
0.500 0.000 0.000
0.000 0.000 0.000
```

***

Version 2
A plane-wave DFT calculation with PBE-GGA was carried out for crystalline NaNiSeBr2 at its relaxed geometry.

Output
As for the space-group type: P4/mmm.

Cell and atoms, written as POSCAR:
```
NaNiSeBr2
1.0
-2.076 1.208 4.663
4.333 -1.750 2.383
1.838 4.189 -0.267
Ni Se Br Na
1 1 2 1
direct
0.000 0.000 0.000
0.000 0.000 0.500
0.000 0.500 0.000
0.500 0.000 0.000
0.500 0.500 0.500
```

***

Of them, the most stable is version 2 and the least stable is version 1.

***

Version 1
A plane-wave DFT calculation with PBE-GGA was carried out for crystalline Na2NpBr8 at its relaxed geometry.

Output
As for the space-group type: C2/m.

Cell and atoms, written as POSCAR:
```
Na2NpBr8
1.0
5.082 0.000 0.000
0.000 7.347 -0.393
-2.541 -3.800 10.574
Na Np Br
2 1 8
direct
0.793 0.398 0.586
0.207 0.602 0.414
0.500 0.000 0.000
0.416 0.611 0.832
0.615 0.960 0.230
0.762 0.745 0.524
0.984 0.196 0.969
0.238 0.255 0.476
0.385 0.040 0.770
0.584 0.389 0.168
0.016 0.804 0.031
```

***

Version 2
A plane-wave DFT calculation with PBE-GGA was carried out for crystalline Na2NpBr8 at its relaxed geometry.

Output
As for the space-group type: C2/m.

Cell and atoms, written as POSCAR:
```
Na2NpBr8
1.0
-2.159 -6.929 -1.197
-1.355 -3.656 6.957
-7.934 -0.512 0.628
Na Np Br
2 1 8
direct
0.410 0.270 0.270
0.590 0.730 0.730
0.000 0.000 0.000
0.293 0.699 0.099
0.707 0.901 0.301
0.065 0.203 0.203
0.935 0.797 0.797
0.293 0.099 0.699
0.707 0.301 0.901
0.657 0.413 0.413
0.343 0.587 0.587
```

***

Of them, the most stable is version 2 and the least stable is version 1.

***

Version 1
A plane-wave DFT calculation with PBE-GGA was carried out for crystalline NaNp2Br8 at its relaxed geometry.

Output
As for the space-group type: C2/m.

Cell and atoms, written as POSCAR:
```
NaNp2Br8
1.0
7.355 -0.406 -0.308
-0.690 8.001 0.637
-0.690 2.768 7.534
Na Np Br
1 2 8
direct
0.000 0.000 0.000
0.483 0.732 0.732
0.517 0.268 0.268
0.319 0.355 0.908
0.681 0.092 0.645
0.196 0.838 0.838
0.804 0.162 0.162
0.319 0.908 0.355
0.681 0.645 0.092
0.743 0.615 0.615
0.257 0.385 0.385
```

***

Version 2
A plane-wave DFT calculation with PBE-GGA was carried out for crystalline NaNp2Br8 at its relaxed geometry.

Output
As for the space-group type: C2/m.

Cell and atoms, written as POSCAR:
```
NaNp2Br8
1.0
-5.568 -0.895 1.480
1.167 -6.997 -3.497
2.930 -0.030 7.347
Na Np Br
1 2 8
direct
0.500 0.000 0.000
0.000 0.317 0.683
0.000 0.683 0.317
0.912 0.937 0.670
0.912 0.670 0.937
0.287 0.604 0.604
0.500 0.756 0.244
0.500 0.244 0.756
0.713 0.396 0.396
0.088 0.330 0.063
0.088 0.063 0.330
```

***

Of them, the most stable is version 1 and the least stable is version 2.

***

Version 1
A plane-wave DFT calculation with PBE-GGA was carried out for crystalline NaBr3O at its relaxed geometry.

Output
As for the space-group type: Pm-3m.

Cell and atoms, written as POSCAR:
```
NaBr3O
1.0
5.587 0.000 0.000
0.000 5.587 0.000
0.000 0.000 5.587
Na O Br
1 1 3
direct
0.000 0.000 0.000
0.500 0.500 0.500
0.000 0.500 0.000
0.000 0.000 0.500
0.500 0.000 0.000
```

***

Version 2
A plane-wave DFT calculation with PBE-GGA was carried out for crystalline NaBr3O at its relaxed geometry.

Output
As for the space-group type: Pm-3m.

Cell and atoms, written as POSCAR:
```
NaBr3O
1.0
4.850 0.000 0.000
0.000 4.850 0.000
0.000 0.000 4.850
Na O Br
1 1 3
direct
0.500 0.500 0.500
0.000 0.000 0.000
0.000 0.500 0.000
0.000 0.000 0.500
0.500 0.000 0.000
```

***

Of them, the most stable is version 2 and the least stable is version 1.

***

Version 1
A plane-wave DFT calculation with PBE-GGA was carried out for crystalline Na2BrO at its relaxed geometry.

Output
As for the space-group type: I-42d.

Cell and atoms, written as POSCAR:
```
Na2BrO
1.0
-2.952 -6.741 -0.142
4.155 -1.697 -5.834
2.667 -5.160 -1.243
Na O Br
4 2 2
direct
0.526 0.125 0.250
0.224 0.625 0.250
0.375 0.474 0.750
0.875 0.776 0.750
0.500 0.500 0.000
0.250 0.750 0.500
0.000 0.000 0.000
0.750 0.250 0.500
```

***

Version 2
A plane-wave DFT calculation with PBE-GGA was carried out for crystalline Na2BrO at its relaxed geometry.

Output
As for the space-group type: Fm-3m.

Cell and atoms, written as POSCAR:
```
Na2BrO
1.0
0.000 3.356 3.356
3.356 0.000 3.356
3.356 3.356 0.000
Na O Br
2 1 1
direct
0.250 0.250 0.250
0.750 0.750 0.750
0.000 0.000 0.000
0.500 0.500 0.500
```

***

Of them, the most stable is version 1 and the least stable is version 2.

***

Version 1
A plane-wave DFT calculation with PBE-GGA was carried out for crystalline NaBrO2 at its relaxed geometry.

Output
As for the space-group type: P4/mmm.

Cell and atoms, written as POSCAR:
```
NaBrO2
1.0
4.102 0.000 0.000
0.000 4.102 0.000
0.000 0.000 3.356
Na Br O
1 1 2
direct
0.500 0.500 0.500
0.000 0.000 0.000
0.000 0.500 0.000
0.500 0.000 0.000
```

***

Version 2
A plane-wave DFT calculation with PBE-GGA was carried out for crystalline NaBrO2 at its relaxed geometry.

Output
As for the space-group type: R-3m.

Cell and atoms, written as POSCAR:
```
NaBrO2
1.0
1.877 0.000 6.451
-0.938 1.625 6.451
-0.938 -1.625 6.451
Na O Br
1 2 1
direct
0.500 0.500 0.500
0.906 0.906 0.906
0.094 0.094 0.094
0.000 0.000 0.000
```

***

Version 3
A plane-wave DFT calculation with PBE-GGA was carried out for crystalline NaBrO2 at its relaxed geometry.

Output
As for the space-group type: P2_1/c.

Cell and atoms, written as POSCAR:
```
NaBrO2
1.0
-1.460 8.569 0.714
-5.799 -0.947 -0.489
-4.598 -1.294 6.131
Na Br O
4 4 8
direct
0.659 0.064 0.097
0.159 0.936 0.403
0.341 0.936 0.903
0.841 0.064 0.597
0.503 0.635 0.674
0.003 0.365 0.826
0.497 0.365 0.326
0.997 0.635 0.174
0.848 0.154 0.855
0.348 0.846 0.645
0.152 0.846 0.145
0.652 0.154 0.355
0.956 0.692 0.627
0.456 0.308 0.873
0.044 0.308 0.373
0.544 0.692 0.127
```

***

Version 4
A plane-wave DFT calculation with PBE-GGA was carried out for crystalline NaBrO2 at its relaxed geometry.

Output
As for the space-group type: P2_1/c.

Cell and atoms, written as POSCAR:
```
NaBrO2
1.0
11.503 0.000 0.000
0.000 4.333 0.035
0.000 2.941 5.868
Na Br O
4 4 8
direct
0.346 0.119 0.907
0.846 0.881 0.593
0.654 0.881 0.093
0.154 0.119 0.407
0.581 0.628 0.692
0.081 0.372 0.808
0.419 0.372 0.308
0.919 0.628 0.192
0.197 0.452 0.613
0.697 0.548 0.887
0.803 0.548 0.387
0.303 0.452 0.113
0.038 0.790 0.763
0.538 0.210 0.737
0.962 0.210 0.237
0.462 0.790 0.263
```

***

Of them, the most stable is version 3 and the least stable is version 1.

***

Version 1
A plane-wave DFT calculation with PBE-GGA was carried out for crystalline NaOsBr6 at its relaxed geometry.

Output
As for the space-group type: R-3.

Cell and atoms, written as POSCAR:
```
NaOsBr6
1.0
6.844 0.010 0.006
3.415 5.934 0.011
3.409 1.973 6.256
Na Os Br
1 1 6
direct
0.500 0.500 0.500
0.000 0.000 0.000
0.043 0.389 0.772
0.795 0.043 0.772
0.611 0.204 0.228
0.205 0.957 0.228
0.957 0.611 0.228
0.389 0.796 0.772
```

***

Version 2
A plane-wave DFT calculation with PBE-GGA was carried out for crystalline NaOsBr6 at its relaxed geometry.

Output
As for the space-group type: C2/c.

Cell and atoms, written as POSCAR:
```
NaOsBr6
1.0
-1.427 -6.883 -0.655
5.718 -2.927 -2.929
4.034 -1.554 9.975
Na Os Br
2 2 12
direct
0.017 0.983 0.250
0.983 0.017 0.750
0.000 0.500 0.500
0.500 0.000 0.000
0.265 0.606 0.399
0.735 0.394 0.601
0.394 0.735 0.101
0.606 0.265 0.899
0.857 0.455 0.295
0.143 0.545 0.705
0.545 0.143 0.205
0.455 0.857 0.795
0.148 0.206 0.994
0.852 0.794 0.006
0.794 0.852 0.506
0.206 0.148 0.494
```

***

Of them, the most stable is version 2 and the least stable is version 1.

***

Version 1
A plane-wave DFT calculation with PBE-GGA was carried out for crystalline NaOs2Br at its relaxed geometry.

Output
As for the space-group type: I-42d.

Cell and atoms, written as POSCAR:
```
NaOs2Br
1.0
-0.651 -7.173 4.025
8.217 -0.395 0.626
3.683 -2.625 4.373
Na Os Br
2 4 2
direct
0.500 0.500 0.000
0.250 0.750 0.500
0.681 0.125 0.250
0.069 0.625 0.250
0.375 0.319 0.750
0.875 0.931 0.750
0.000 0.000 0.000
0.750 0.250 0.500
```

***

Version 2
A plane-wave DFT calculation with PBE-GGA was carried out for crystalline NaOs2Br at its relaxed geometry.

Output
As for the space-group type: Fm-3m.

Cell and atoms, written as POSCAR:
```
NaOs2Br
1.0
0.000 3.165 3.165
3.165 0.000 3.165
3.165 3.165 0.000
Na Os Br
1 2 1
direct
0.000 0.000 0.000
0.250 0.250 0.250
0.750 0.750 0.750
0.500 0.500 0.500
```

***

Of them, the most stable is version 1 and the least stable is version 2.

***

Version 1
A plane-wave DFT calculation with PBE-GGA was carried out for crystalline Na2PBr at its relaxed geometry.

Output
As for the space-group type: I-42d.

Cell and atoms, written as POSCAR:
```
Na2PBr
1.0
7.906 0.000 0.000
0.000 7.906 0.000
3.953 3.953 3.157
P Br Na
2 2 4
direct
0.500 0.500 0.000
0.250 0.750 0.500
0.000 0.000 0.000
0.750 0.250 0.500
0.621 0.125 0.250
0.129 0.625 0.250
0.375 0.379 0.750
0.875 0.871 0.750
```

***

Version 2
A plane-wave DFT calculation with PBE-GGA was carried out for crystalline Na2PBr at its relaxed geometry.

Output
As for the space-group type: Fm-3m.

Cell and atoms, written as POSCAR:
```
Na2PBr
1.0
-1.280 -4.159 2.864
-3.297 0.508 4.002
-4.801 -1.998 -0.310
P Br Na
1 1 2
direct
0.000 0.000 0.000
0.500 0.500 0.500
0.250 0.250 0.250
0.750 0.750 0.750
```

***

Of them, the most stable is version 1 and the least stable is version 2.